# K2SmNp3O12 PBE optimized geometry
# E_form (uncorrected): -2706.5 meV/atom
# E: -8.553 eV per atom
data_K2SmNp3O12
_chemical_formula_sum 'K6 Sm3 Np9 O36'
_symmetry_space_group_name_H-M 'R -3 m'
_symmetry_Int_Tables_number 166
_symmetry_space_group_name_Hall '-R 3 2"'
_cell_length_a 8.0517
_cell_length_b 8.0517
_cell_length_c 18.9607
_cell_angle_alpha 90.00
_cell_angle_beta 90.00
_cell_angle_gamma 120.00
loop_
_atom_site_label
_atom_site_type_symbol
_atom_site_fract_x
_atom_site_fract_y
_atom_site_fract_z
K1 K 0.0000 0.0000 0.1693
Sm1 Sm 0.0000 0.0000 0.5000
Np1 Np 0.0000 0.5000 0.0000
O1 O 0.0486 0.5243 0.1014
O2 O 0.0882 0.5441 0.3494